Entry from Alexandria: FeOsRh2 after structural relaxation (GGA-PBE).

Results
Uncorrected energy   -137.2 eV/cell
Space group   Pnma (62)
Energy of formation   0.09 eV per formula unit
Polymorph energy (0 for the lowest one)   10 meV per atom

Unit cell a=4.334 b=4.655 c=10.784 alpha=90.00 beta=90.00 gamma=90.00
Site moments in Bohr magnetons follow the coordinates.
Positions (direct):
Fe  0.750  0.922  0.436  2.43
Fe  0.250  0.078  0.564  2.43
Fe  0.750  0.422  0.064  2.43
Fe  0.250  0.578  0.936  2.43
Rh  0.250  0.592  0.441  0.07
Rh  0.750  0.408  0.559  0.07
Rh  0.750  0.911  0.682  0.08
Rh  0.750  0.908  0.941  0.07
Rh  0.250  0.589  0.182  0.08
Rh  0.750  0.411  0.818  0.08
Rh  0.250  0.089  0.318  0.08
Rh  0.250  0.092  0.059  0.07
Os  0.750  0.427  0.312  -0.23
Os  0.250  0.073  0.812  -0.23
Os  0.750  0.927  0.188  -0.23
Os  0.250  0.573  0.688  -0.23



Entry from Alexandria: Cs2YWCl6 after structural relaxation (GGA-PBE).

Results
Uncorrected energy   -45.4 eV/cell
Space group   Fm-3m (225)

Unit cell a=7.320 b=7.320 c=7.320 alpha=60.00 beta=60.00 gamma=90.00
Site moments in Bohr magnetons follow the coordinates.
Positions (direct):
Y  0.500  0.500  0.000  -0.17
Cl  0.759  0.759  0.000  0.01
Cl  0.759  0.759  0.482  0.01
Cl  0.241  0.759  0.000  0.01
Cl  0.241  0.241  0.518  0.01
Cl  0.241  0.241  0.000  0.01
Cl  0.759  0.241  0.000  0.01
Cs  0.750  0.250  0.500  0.00
Cs  0.250  0.750  0.500  0.00
W  0.000  0.000  0.000  0.95



Entry from Alexandria: TbPm2Bi3 after structural relaxation (GGA-PBE).

Results
Uncorrected energy   -31.3 eV/cell
Space group   Immm (71)
Energy of formation   -5.51 eV per formula unit

Unit cell a=4.551 b=6.433 c=7.882 alpha=114.08 beta=106.78 gamma=90.00
Positions (direct):
Bi  0.164  0.664  0.827
Bi  0.836  0.336  0.173
Bi  0.500  0.000  0.500
Pm  0.832  0.832  0.165
Pm  0.168  0.168  0.835
Tb  0.500  0.500  0.500



Entry from Alexandria: Co6SbW after structural relaxation (GGA-PBE).

Results
Uncorrected energy   -238.8 eV/cell
Space group   Cmmm (65)

Unit cell a=6.306 b=6.306 c=10.315 alpha=90.00 beta=90.00 gamma=109.46
Positions (direct):
Co  0.621  0.866  0.379
Co  0.500  0.500  0.750
Co  0.621  0.866  0.121
Co  0.128  0.382  0.871
Co  0.866  0.621  0.379
Co  0.500  0.500  0.250
Co  0.866  0.621  0.121
Co  0.379  0.134  0.121
Co  0.618  0.872  0.871
Co  0.000  0.000  0.750
Co  0.618  0.872  0.629
Co  0.382  0.128  0.629
Co  0.000  0.000  0.250
Co  0.128  0.382  0.629
Co  0.382  0.128  0.871
Co  0.255  0.745  0.507
Co  0.872  0.618  0.629
Co  0.134  0.379  0.121
Co  0.872  0.618  0.871
Co  0.745  0.255  0.507
Co  0.379  0.134  0.379
Co  0.255  0.745  0.993
Co  0.745  0.255  0.993
Co  0.134  0.379  0.379
Sb  0.000  0.000  0.998
Sb  0.000  0.000  0.502
Sb  0.750  0.250  0.250
Sb  0.250  0.750  0.250
W  0.747  0.253  0.750
W  0.253  0.747  0.750
W  0.500  0.500  0.999
W  0.500  0.500  0.501